Entry one
Entry from the Alexandria database: crystalline RbBa2SrCu at its relaxed geometry (PBE).

Calculated values
space-group type: P4/mmm, No. 123
spin magnetization: 0.00 μB/f.u.
density of states at the Fermi level: 0.933 states/eV per atom

The structure in POSCAR format:
```
RbBa2SrCu
1.0
6.5539 0.0000 0.0000
0.0000 6.5539 0.0000
0.0000 0.0000 6.3370
Rb Ba Sr Cu
1 2 1 1
direct
0.0000 0.0000 0.0000
0.0000 0.5000 0.5000
0.5000 0.0000 0.5000
0.5000 0.5000 0.0000
0.5000 0.5000 0.5000
```

***

Entry two
Entry from the Alexandria database: crystalline RbBa2SrCu at its relaxed geometry (PBE).

Calculated values
space-group type: P4/mmm, No. 123
spin magnetization: 0.00 μB/f.u.
density of states at the Fermi level: 0.962 states/eV per atom

The structure in POSCAR format:
```
RbBa2SrCu
1.0
6.4409 0.0000 0.0000
0.0000 6.4409 0.0000
0.0000 0.0000 6.7662
Rb Ba Sr Cu
1 2 1 1
direct
0.0000 0.0000 0.0000
0.0000 0.5000 0.5000
0.5000 0.0000 0.5000
0.5000 0.5000 0.0000
0.0000 0.0000 0.5000
```

***

It turns out entry one is the most stable, with the second structure 9.8 kJ/mol of atoms higher.

***

Entry one
Entry from the Alexandria database: crystalline BaCuRe2 at its relaxed geometry (PBE).

Calculated values
space-group type: P4mm, No. 99
spin magnetization: 0.00 μB/f.u.
density of states at the Fermi level: 0.952 states/eV per atom

The structure in POSCAR format:
```
BaCuRe2
1.0
3.1957 0.0000 0.0000
0.0000 3.1957 0.0000
0.0000 0.0000 7.9351
Ba Cu Re
1 1 2
direct
0.0000 0.0000 0.0000
0.5000 0.5000 0.3160
0.0000 0.0000 0.5052
0.5000 0.5000 0.6626
```

***

Entry two
Entry from the Alexandria database: crystalline BaCuRe2 at its relaxed geometry (PBE).

Calculated values
space-group type: P4/mmm, No. 123
spin magnetization: 0.00 μB/f.u.
density of states at the Fermi level: 0.757 states/eV per atom

The structure in POSCAR format:
```
BaCuRe2
1.0
3.8876 0.0000 0.0000
0.0000 3.8876 0.0000
0.0000 0.0000 5.3279
Ba Cu Re
1 1 2
direct
0.0000 0.0000 0.0000
0.5000 0.5000 0.0000
0.0000 0.5000 0.5000
0.5000 0.0000 0.5000
```

***

Entry three
Entry from the Alexandria database: crystalline BaCuRe2 at its relaxed geometry (PBE).

Calculated values
space-group type: R-3m, No. 166
spin magnetization: 0.00 μB/f.u.
density of states at the Fermi level: 1.050 states/eV per atom

The structure in POSCAR format:
```
BaCuRe2
1.0
1.4490 0.8366 10.2835
-1.4490 0.8366 10.2835
0.0000 -1.6732 10.2835
Ba Cu Re
1 1 2
direct
0.0000 0.0000 0.0000
0.5000 0.5000 0.5000
0.2338 0.2338 0.2338
0.7662 0.7662 0.7662
```

***

It turns out entry one is the most stable, with the second structure 70.8 kJ/mol of atoms higher.

***

Entry one
Entry from the Alexandria database: crystalline BaCuRe2 at its relaxed geometry (PBE).

Calculated values
space-group type: Pmmm, No. 47
spin magnetization: 0.00 μB/f.u.
density of states at the Fermi level: 0.586 states/eV per atom

The structure in POSCAR format:
```
BaCuRe2
1.0
2.8870 0.0000 0.0000
0.0000 4.8350 0.0000
0.0000 0.0000 5.5628
Ba Cu Re
1 1 2
direct
0.0000 0.0000 0.0000
0.5000 0.5000 0.0000
0.0000 0.5000 0.5000
0.5000 0.0000 0.5000
```

***

Entry two
Entry from the Alexandria database: crystalline BaCuRe2 at its relaxed geometry (PBE).

Calculated values
space-group type: P2/m, No. 10
spin magnetization: 0.00 μB/f.u.
density of states at the Fermi level: 1.163 states/eV per atom

The structure in POSCAR format:
```
BaCuRe2
1.0
3.8620 0.0000 0.0000
0.0000 4.5842 0.0000
-1.4252 0.0000 5.4894
Ba Cu Re
1 1 2
direct
0.0000 0.0000 0.0000
0.5000 0.0000 0.5000
0.2952 0.5000 0.6259
0.7048 0.5000 0.3741
```

***

Entry three
Entry from the Alexandria database: crystalline BaCuRe2 at its relaxed geometry (PBE).

Calculated values
space-group type: Cm, No. 8
spin magnetization: 0.00 μB/f.u.
density of states at the Fermi level: 1.165 states/eV per atom

The structure in POSCAR format:
```
BaCuRe2
1.0
3.7451 -2.1623 0.0000
3.7451 2.1623 0.0000
-2.5036 0.0000 5.9894
Ba Cu Re
1 1 2
direct
0.0000 0.0000 0.0000
0.8039 0.8039 0.4141
0.1930 0.1930 0.5809
0.5111 0.5111 0.5353
```

***

It turns out entry three is the most stable, with the second structure 42.0 kJ/mol of atoms higher.

***

Entry one
Entry from the Alexandria database: crystalline BaCuRe2 at its relaxed geometry (PBE).

Calculated values
space-group type: Fm-3m, No. 225
spin magnetization: 0.00 μB/f.u.
density of states at the Fermi level: 1.039 states/eV per atom

The structure in POSCAR format:
```
BaCuRe2
1.0
0.0000 3.3031 3.3031
3.3031 0.0000 3.3031
3.3031 3.3031 0.0000
Ba Cu Re
1 1 2
direct
0.0000 0.0000 0.0000
0.5000 0.5000 0.5000
0.2500 0.2500 0.2500
0.7500 0.7500 0.7500
```

***

Entry two
Entry from the Alexandria database: crystalline BaCuRe2 at its relaxed geometry (PBE).

Calculated values
space-group type: I4_1/amd, No. 141
spin magnetization: 0.00 μB/f.u.
density of states at the Fermi level: 1.370 states/eV per atom

The structure in POSCAR format:
```
BaCuRe2
1.0
-2.3989 2.3989 9.0629
2.3989 -2.3989 9.0629
2.3989 2.3989 -9.0629
Ba Cu Re
2 2 4
direct
0.3750 0.6250 0.7500
0.6250 0.3750 0.2500
0.1250 0.8750 0.2500
0.8750 0.1250 0.7500
0.0000 0.0000 0.0000
0.0000 0.0000 0.5000
0.0000 0.5000 0.0000
0.5000 0.0000 0.5000
```

***

Entry three
Entry from the Alexandria database: crystalline BaCuRe2 at its relaxed geometry (PBE).

Calculated values
space-group type: Cmmm, No. 65
spin magnetization: 0.00 μB/f.u.
density of states at the Fermi level: 0.884 states/eV per atom

The structure in POSCAR format:
```
BaCuRe2
1.0
2.6926 -5.3206 0.0000
2.6926 5.3206 0.0000
0.0000 0.0000 2.7681
Ba Cu Re
1 1 2
direct
0.0000 0.0000 0.0000
0.5000 0.5000 0.0000
0.0000 0.5000 0.5000
0.5000 0.0000 0.5000
```

***

It turns out entry two is the most stable, with the second structure 26.9 kJ/mol of atoms higher.

***

Entry one
Entry from the Alexandria database: crystalline BaCuRe2 at its relaxed geometry (PBE).

Calculated values
space-group type: P4/mmm, No. 123
spin magnetization: 0.00 μB/f.u.
density of states at the Fermi level: 0.948 states/eV per atom

The structure in POSCAR format:
```
BaCuRe2
1.0
2.8674 0.0000 0.0000
0.0000 2.8674 0.0000
0.0000 0.0000 9.1529
Ba Cu Re
1 1 2
direct
0.0000 0.0000 0.0000
0.0000 0.0000 0.5000
0.5000 0.5000 0.3155
0.5000 0.5000 0.6845
```

***

Entry two
Entry from the Alexandria database: crystalline BaCuRe2 at its relaxed geometry (PBE).

Calculated values
space-group type: P4/mmm, No. 123
spin magnetization: 0.00 μB/f.u.
density of states at the Fermi level: 0.975 states/eV per atom

The structure in POSCAR format:
```
BaCuRe2
1.0
3.3314 0.0000 0.0000
0.0000 3.3314 0.0000
0.0000 0.0000 7.5329
Ba Cu Re
1 1 2
direct
0.0000 0.0000 0.0000
0.0000 0.0000 0.5000
0.5000 0.5000 0.3488
0.5000 0.5000 0.6512
```

***

Entry three
Entry from the Alexandria database: crystalline BaCuRe2 at its relaxed geometry (PBE).

Calculated values
space-group type: I4/mmm, No. 139
spin magnetization: 0.00 μB/f.u.
density of states at the Fermi level: 0.829 states/eV per atom

The structure in POSCAR format:
```
BaCuRe2
1.0
-1.9352 1.9352 5.4365
1.9352 -1.9352 5.4365
1.9352 1.9352 -5.4365
Ba Cu Re
1 1 2
direct
0.0000 0.0000 0.0000
0.5000 0.5000 0.0000
0.2500 0.7500 0.5000
0.7500 0.2500 0.5000
```

***

It turns out entry two is the most stable, with the second structure 18.1 kJ/mol of atoms higher.

***

Entry one
Entry from the Alexandria database: crystalline BaCuRe2 at its relaxed geometry (PBE).

Calculated values
space-group type: C2/m, No. 12
spin magnetization: 0.00 μB/f.u.
density of states at the Fermi level: 1.179 states/eV per atom

The structure in POSCAR format:
```
BaCuRe2
1.0
3.7970 -2.1924 0.0000
3.7970 2.1924 0.0000
-2.5408 0.0000 5.9453
Ba Cu Re
1 1 2
direct
0.0000 0.0000 0.0000
0.5000 0.5000 0.5000
0.1819 0.1819 0.5454
0.8181 0.8181 0.4546
```

***

Entry two
Entry from the Alexandria database: crystalline BaCuRe2 at its relaxed geometry (PBE).

Calculated values
space-group type: C2/m, No. 12
spin magnetization: 0.00 μB/f.u.
density of states at the Fermi level: 0.942 states/eV per atom

The structure in POSCAR format:
```
BaCuRe2
1.0
2.7012 -5.4704 0.0000
2.7012 5.4704 0.0000
-1.7151 0.0000 2.6351
Ba Cu Re
1 1 2
direct
0.0000 0.0000 0.0000
0.5000 0.5000 0.0000
0.0000 0.5000 0.5000
0.5000 0.0000 0.5000
```

***

It turns out entry one is the most stable, with the second structure 65.0 kJ/mol of atoms higher.

***

Entry one
Entry from the Alexandria database: crystalline BaCuRe2 at its relaxed geometry (PBE).

Calculated values
space-group type: F-43m, No. 216
spin magnetization: 0.00 μB/f.u.
density of states at the Fermi level: 0.907 states/eV per atom

The structure in POSCAR format:
```
BaCuRe2
1.0
0.0000 3.3585 3.3585
3.3585 0.0000 3.3585
3.3585 3.3585 0.0000
Ba Cu Re
1 1 2
direct
0.0000 0.0000 0.0000
0.2500 0.2500 0.2500
0.5000 0.5000 0.5000
0.7500 0.7500 0.7500
```

***

Entry two
Entry from the Alexandria database: crystalline BaCuRe2 at its relaxed geometry (PBE).

Calculated values
space-group type: Imm2, No. 44
spin magnetization: 0.03 μB/f.u.
density of states at the Fermi level: 1.273 states/eV per atom

The structure in POSCAR format:
```
BaCuRe2
1.0
-1.6851 2.9173 4.8076
1.6851 -2.9173 4.8076
1.6851 2.9173 -4.8076
Ba Cu Re
1 1 2
direct
0.0000 0.0000 0.0000
0.7045 0.2045 0.5000
0.3266 0.8266 0.5000
0.4986 0.4986 0.0000
```

***

It turns out entry two is the most stable, with the second structure 19.5 kJ/mol of atoms higher.

***

Entry one
Entry from the Alexandria database: crystalline BaCu2Re at its relaxed geometry (PBE).

Calculated values
space-group type: Fm-3m, No. 225
spin magnetization: 2.62 μB/f.u.
density of states at the Fermi level: 0.778 states/eV per atom

The structure in POSCAR format:
```
BaCu2Re
1.0
0.0000 3.4572 3.4572
3.4572 0.0000 3.4572
3.4572 3.4572 0.0000
Ba Cu Re
1 2 1
direct
0.0000 0.0000 0.0000
0.2500 0.2500 0.2500
0.7500 0.7500 0.7500
0.5000 0.5000 0.5000
```

***

Entry two
Entry from the Alexandria database: crystalline BaCu2Re at its relaxed geometry (PBE).

Calculated values
space-group type: R-3m, No. 166
spin magnetization: 1.13 μB/f.u.
density of states at the Fermi level: 0.478 states/eV per atom

The structure in POSCAR format:
```
BaCu2Re
1.0
2.1633 1.2490 5.6908
-2.1633 1.2490 5.6908
0.0000 -2.4979 5.6908
Ba Cu Re
1 2 1
direct
0.0000 0.0000 0.0000
0.1844 0.1844 0.1844
0.8156 0.8156 0.8156
0.5000 0.5000 0.5000
```

***

Entry three
Entry from the Alexandria database: crystalline BaCu2Re at its relaxed geometry (PBE).

Calculated values
space-group type: P4mm, No. 99
spin magnetization: 0.00 μB/f.u.
density of states at the Fermi level: 0.911 states/eV per atom

The structure in POSCAR format:
```
BaCu2Re
1.0
3.0796 0.0000 0.0000
0.0000 3.0796 0.0000
0.0000 0.0000 7.9459
Ba Cu Re
1 2 1
direct
0.0000 0.0000 0.0000
0.0000 0.0000 0.4829
0.5000 0.5000 0.3267
0.5000 0.5000 0.6667
```

***

It turns out entry two is the most stable, with the second structure 27.4 kJ/mol of atoms higher.

***

Entry one
Entry from the Alexandria database: crystalline BaCu2Re at its relaxed geometry (PBE).

Calculated values
space-group type: Immm, No. 71
spin magnetization: 1.74 μB/f.u.
density of states at the Fermi level: 0.636 states/eV per atom

The structure in POSCAR format:
```
BaCu2Re
1.0
-1.6961 2.7456 4.7359
1.6961 -2.7456 4.7359
1.6961 2.7456 -4.7359
Ba Cu Re
1 2 1
direct
0.0000 0.0000 0.0000
0.3022 0.8022 0.5000
0.6978 0.1978 0.5000
0.5000 0.5000 0.0000
```

***

Entry two
Entry from the Alexandria database: crystalline BaCu2Re at its relaxed geometry (PBE).

Calculated values
space-group type: I4_1/amd, No. 141
spin magnetization: 2.82 μB/f.u.
density of states at the Fermi level: 0.461 states/eV per atom

The structure in POSCAR format:
```
BaCu2Re
1.0
-2.4566 2.4566 8.6088
2.4566 -2.4566 8.6088
2.4566 2.4566 -8.6088
Ba Cu Re
2 4 2
direct
0.3750 0.6250 0.7500
0.6250 0.3750 0.2500
0.0000 0.0000 0.0000
0.0000 0.0000 0.5000
0.0000 0.5000 0.0000
0.5000 0.0000 0.5000
0.1250 0.8750 0.2500
0.8750 0.1250 0.7500
```

***

Entry three
Entry from the Alexandria database: crystalline BaCu2Re at its relaxed geometry (PBE).

Calculated values
space-group type: F-43m, No. 216
spin magnetization: 2.89 μB/f.u.
density of states at the Fermi level: 0.483 states/eV per atom

The structure in POSCAR format:
```
BaCu2Re
1.0
0.0000 3.4565 3.4565
3.4565 0.0000 3.4565
3.4565 3.4565 0.0000
Ba Cu Re
1 2 1
direct
0.0000 0.0000 0.0000
0.5000 0.5000 0.5000
0.7500 0.7500 0.7500
0.2500 0.2500 0.2500
```

***

Entry four
Entry from the Alexandria database: crystalline BaCu2Re at its relaxed geometry (PBE).

Calculated values
space-group type: R-3m, No. 166
spin magnetization: 0.00 μB/f.u.
density of states at the Fermi level: 1.127 states/eV per atom

The structure in POSCAR format:
```
BaCu2Re
1.0
1.5119 0.8729 9.5457
-1.5119 0.8729 9.5457
0.0000 -1.7458 9.5457
Ba Cu Re
1 2 1
direct
0.0000 0.0000 0.0000
0.2342 0.2342 0.2342
0.7658 0.7658 0.7658
0.5000 0.5000 0.5000
```

***

It turns out entry two is the most stable, with the second structure 10.7 kJ/mol of atoms higher.

***

Entry one
Entry from the Alexandria database: crystalline BaCu2Re at its relaxed geometry (PBE).

Calculated values
space-group type: Cm, No. 8
spin magnetization: 0.12 μB/f.u.
density of states at the Fermi level: 1.111 states/eV per atom

The structure in POSCAR format:
```
BaCu2Re
1.0
4.2507 -1.5157 0.0000
4.2507 1.5157 0.0000
-0.9731 0.0000 6.4956
Ba Cu Re
1 2 1
direct
0.0000 0.0000 0.0000
0.2296 0.2296 0.6512
0.5079 0.5079 0.4857
0.7729 0.7729 0.3588
```

***

Entry two
Entry from the Alexandria database: crystalline BaCu2Re at its relaxed geometry (PBE).

Calculated values
space-group type: P4/mmm, No. 123
spin magnetization: 0.39 μB/f.u.
density of states at the Fermi level: 1.117 states/eV per atom

The structure in POSCAR format:
```
BaCu2Re
1.0
5.0212 0.0000 0.0000
0.0000 5.0212 0.0000
0.0000 0.0000 2.9445
Ba Cu Re
1 2 1
direct
0.0000 0.0000 0.0000
0.0000 0.5000 0.5000
0.5000 0.0000 0.5000
0.5000 0.5000 0.0000
```

***

Entry three
Entry from the Alexandria database: crystalline BaCu2Re at its relaxed geometry (PBE).

Calculated values
space-group type: Pm, No. 6
spin magnetization: 0.00 μB/f.u.
density of states at the Fermi level: 1.104 states/eV per atom

The structure in POSCAR format:
```
BaCu2Re
1.0
2.9730 0.0000 0.0000
0.0000 4.1307 0.0000
-1.1843 0.0000 6.6257
Ba Cu Re
1 2 1
direct
0.0000 0.0000 0.0000
0.6305 0.5000 0.3096
0.6920 0.0000 0.5237
0.2568 0.5000 0.6236
```

***

Entry four
Entry from the Alexandria database: crystalline BaCu2Re at its relaxed geometry (PBE).

Calculated values
space-group type: P4/mmm, No. 123
spin magnetization: 0.00 μB/f.u.
density of states at the Fermi level: 1.257 states/eV per atom

The structure in POSCAR format:
```
BaCu2Re
1.0
3.2070 0.0000 0.0000
0.0000 3.2070 0.0000
0.0000 0.0000 7.4711
Ba Cu Re
1 2 1
direct
0.0000 0.0000 0.0000
0.5000 0.5000 0.3291
0.5000 0.5000 0.6709
0.0000 0.0000 0.5000
```

***

It turns out entry four is the most stable, with the second structure 7.1 kJ/mol of atoms higher.